VASP calculation (GGA-PBEsol) on a relaxed Na2NiO2 crystal. Values from VASP.

Quantum ESPRESSO input file:
```
&SYSTEM
  ibrav = 0, nat = 5, ntyp = 3
/
ATOMIC_SPECIES
Na 22.99 Na.upf
Ni 58.69 Ni.upf
O 16.00 O.upf
ATOMIC_POSITIONS crystal
Na 0.1750 0.1750 0.0000
Na 0.8250 0.8250 0.0000
Ni 0.5000 0.5000 0.0000
O 0.3692 0.8692 0.5000
O 0.6308 0.1308 0.5000
CELL_PARAMETERS angstrom
-1.4160 2.2779 4.6941
1.4160 -2.2779 4.6941
1.4160 2.2779 -4.6941
```

E_form (uncorrected)   -5.93 eV per formula unit
Volume   12.1 Å³/atom
Space group   Immm
Energy relative to the lowest polymorph listed for this composition   0.079 kcal/mol of atoms